Record 1
Compound: BaCa2Be
Source: Alexandria
Functional: PBE-GGA
Structure: optimized geometry

a b c (Å): 5.8035 5.8035 5.8035
angles (deg): 60.00 60.00 60.00
Element x y z (fractional)
Ba 0.0000 0.0000 0.0000
Ca 0.2500 0.2500 0.2500
Ca 0.5000 0.5000 0.5000
Be 0.7500 0.7500 0.7500

Values from the calculation:
SG: F-43m (216)
Volume in Å³ per cell: 138
Size of the total moment in μB/cell: 0.000
D(E_F) in states/eV/f.u.: 2.77
Raw total energy in eV per atom: -1.973

***

Record 2
Compound: AcSn3Pd2
Source: Alexandria
Functional: PBE-GGA
Structure: optimized geometry

a b c (Å): 9.2684 9.2684 10.9627
angles (deg): 106.50 106.50 28.95
Element x y z (fractional)
Ac 0.0000 0.0000 0.0000
Ac 0.1576 0.1576 0.7058
Ac 0.8424 0.8424 0.2942
Sn 0.0443 0.0443 0.3498
Sn 0.2161 0.2161 0.3741
Sn 0.3365 0.3365 0.0573
Sn 0.3689 0.3689 0.8094
Sn 0.5000 0.5000 0.5000
Sn 0.6311 0.6311 0.1906
Sn 0.6635 0.6635 0.9427
Sn 0.7839 0.7839 0.6259
Sn 0.9557 0.9557 0.6502
Pd 0.1946 0.1946 0.1071
Pd 0.3570 0.3570 0.5458
Pd 0.4842 0.4842 0.2230
Pd 0.5158 0.5158 0.7770
Pd 0.6430 0.6430 0.4542
Pd 0.8054 0.8054 0.8929

Values from the calculation:
SG: C2/m (12)
Volume in Å³ per cell: 436
Size of the total moment in μB/cell: 0.000
D(E_F) in states/eV/f.u.: 2.13
Polymorph energy (0 for the lowest one) in meV/atom: 0
Raw total energy in eV per atom: -5.068